[1]
The following is a GGA-PBE calculation of a geometry-optimized Si2N structure, from Alexandria via LeMat-Bulk.

The energy relative to the lowest polymorph listed for this composition is 162.2 meV/atom. For the electronic total energy, the calculation gives -39.71 eV per cell. The density of states at the Fermi level comes out at 0.06 states/eV/atom. The theoretical density is 2.7 g/cm3. The formation energy without anion corrections comes out at -0.23 eV per atom. The value obtained for the total moment is 0.00 Bohr magnetons per cell.

Structure (CIF):
```
data_Si2N
_cell_length_a 4.3778
_cell_length_b 4.4925
_cell_length_c 4.6141
_cell_angle_alpha 91.55
_cell_angle_beta 92.79
_cell_angle_gamma 106.05
_space_group_name_H-M_alt 'P 1'
_space_group_IT_number 1
loop_
_space_group_symop_operation_xyz
'x,y,z'
loop_
_atom_site_label
_atom_site_type_symbol
_atom_site_fract_x
_atom_site_fract_y
_atom_site_fract_z
Si1 Si 0.0000 0.0000 0.0000
Si2 Si 0.0705 0.6913 0.3884
Si3 Si 0.4797 0.4826 0.6142
Si4 Si 0.6443 0.2495 0.2068
N1 N 0.3557 0.2833 0.9263
N2 N 0.8456 0.7737 0.6853
```

[2]
The following is a GGA-PBE calculation of a geometry-optimized TiGe2SO structure, from Alexandria via LeMat-Bulk.

For the electronic total energy, the calculation gives -24.07 eV per cell. The density of states at the Fermi level comes out at 1.02 states/eV/atom. The theoretical density is 3.6 g/cm3. The formation energy without anion corrections comes out at 0.43 eV per atom. The value obtained for the total moment is 0.00 Bohr magnetons per cell.

Structure (CIF):
```
data_TiGe2SO
_cell_length_a 5.0215
_cell_length_b 5.0215
_cell_length_c 4.3997
_cell_angle_alpha 90.00
_cell_angle_beta 90.00
_cell_angle_gamma 90.00
_space_group_name_H-M_alt 'P 4/m m m'
_space_group_IT_number 123
_space_group_name_Hall '-P 4 2'
loop_
_atom_site_label
_atom_site_type_symbol
_atom_site_fract_x
_atom_site_fract_y
_atom_site_fract_z
Ti1 Ti 0.0000 0.0000 0.0000
Ge1 Ge 0.0000 0.5000 0.0000
S1 S 0.0000 0.0000 0.5000
O1 O 0.5000 0.5000 0.5000
```